1.
The following is a PBE-GGA calculation of a relaxed structure of MnPdC2, from Alexandria.

Values from the calculation:
- Energy of formation: 1.50 eV per atom
- Calculated total energy: -26.807 eV per cell

Lattice parameters (Å, degrees): 3.7357 3.7357 3.7357 60.00 60.00 60.00
Each line ends with the local moment (μB).
Fractional positions:
Mn 0.0000 0.0000 0.0000  0.66
Pd 0.5000 0.5000 0.5000  -0.01
C 0.7500 0.7500 0.7500  -0.02
C 0.2500 0.2500 0.2500  -0.02

=====

2.
The following is a PBE-GGA calculation of a relaxed structure of Mn2PdRuC, from Alexandria.

Values from the calculation:
- Energy of formation: 0.08 eV per atom
- Calculated total energy: -41.623 eV per cell

Lattice parameters (Å, degrees): 3.9958 3.9958 3.9753 90.00 90.00 90.00
Each line ends with the local moment (μB).
Fractional positions:
Mn 0.0000 0.5000 0.0000  3.06
Mn 0.5000 0.0000 0.0000  3.06
Ru 0.0000 0.0000 0.5000  0.12
Pd 0.5000 0.5000 0.5000  0.26
C 0.0000 0.0000 0.0000  -0.14

=====

3.
The following is a PBE-GGA calculation of a relaxed structure of ScMnPd2C, from Alexandria.

Values from the calculation:
- Energy of formation: -0.19 eV per atom
- Calculated total energy: -36.043 eV per cell

Lattice parameters (Å, degrees): 4.2500 3.8469 4.2500 90.00 90.00 90.00
Each line ends with the local moment (μB).
Fractional positions:
Sc 0.5000 0.5000 0.5000  -0.18
Pd 0.5000 0.0000 0.0000  -0.07
Pd 0.0000 0.0000 0.5000  -0.02
C 0.0000 0.0000 0.0000  -0.08
Mn 0.0000 0.5000 0.0000  1.42

=====

4.
The following is a PBE-GGA calculation of a relaxed structure of MnSi2PdC, from Alexandria.

Values from the calculation:
- ΔE_f (raw): 1.71 eV/atom
- Calculated total energy: -25.900 eV per cell

Lattice parameters (Å, degrees): 4.2762 4.7586 4.2762 90.00 90.00 90.00
Each line ends with the local moment (μB).
Fractional positions:
Si 0.5000 0.0000 0.0000  -0.04
Si 0.0000 0.0000 0.5000  -0.04
Mn 0.0000 0.0000 0.0000  1.51
Pd 0.0000 0.5000 0.0000  0.28
C 0.5000 0.5000 0.5000  0.35

=====

5.
The following is a PBE-GGA calculation of a relaxed structure of TaMn2PdC, from Alexandria.

Values from the calculation:
- Energy of formation: -0.11 eV per atom
- Calculated total energy: -45.171 eV per cell

Lattice parameters (Å, degrees): 3.8668 3.8668 4.2825 90.00 90.00 90.00
Each line ends with the local moment (μB).
Fractional positions:
Mn 0.5000 0.0000 0.0000  1.85
Mn 0.0000 0.5000 0.0000  1.85
Pd 0.5000 0.5000 0.5000  0.05
C 0.0000 0.0000 0.0000  -0.06
Ta 0.0000 0.0000 0.5000  -0.24

=====

6.
The following is a PBE-GGA calculation of a relaxed structure of Mn2TcPdC, from Alexandria.

Values from the calculation:
- Energy of formation: 0.09 eV per atom
- Calculated total energy: -42.680 eV per cell

Lattice parameters (Å, degrees): 3.9571 3.9571 4.0259 90.00 90.00 90.00
Each line ends with the local moment (μB).
Fractional positions:
Tc 0.0000 0.0000 0.5000  -0.41
C 0.0000 0.0000 0.0000  -0.09
Mn 0.5000 0.0000 0.0000  2.76
Mn 0.0000 0.5000 0.0000  2.76
Pd 0.5000 0.5000 0.5000  0.10

=====

7.
The following is a PBE-GGA calculation of a relaxed structure of Ti2MnPdC, from Alexandria.

Values from the calculation:
- Energy of formation: -0.46 eV per atom
- Calculated total energy: -41.652 eV per cell

Lattice parameters (Å, degrees): 4.2148 4.2148 3.6998 90.00 90.00 90.00
Fractional positions:
Ti 0.5000 0.0000 0.0000
Ti 0.0000 0.5000 0.0000
Pd 0.5000 0.5000 0.5000
Mn 0.0000 0.0000 0.5000
C 0.0000 0.0000 0.0000

=====

8.
The following is a PBE-GGA calculation of a relaxed structure of MnTlPdC2, from Alexandria.

Values from the calculation:
- Energy of formation: 1.14 eV per atom
- Calculated total energy: -29.479 eV per cell

Lattice parameters (Å, degrees): 3.7436 5.4230 3.7436 90.00 90.00 90.00
Fractional positions:
C 0.0000 0.0000 0.5000
C 0.5000 0.0000 0.0000
Mn 0.0000 0.0000 0.0000
Pd 0.0000 0.5000 0.0000
Tl 0.5000 0.5000 0.5000

=====

9.
The following is a PBE-GGA calculation of a relaxed structure of Y2MnPdC, from Alexandria.

Values from the calculation:
- Energy of formation: -0.44 eV per atom
- Calculated total energy: -38.719 eV per cell

Lattice parameters (Å, degrees): 4.9705 4.9705 3.7676 90.00 90.00 90.00
Each line ends with the local moment (μB).
Fractional positions:
C 0.0000 0.0000 0.0000  -0.09
Y 0.0000 0.5000 0.0000  -0.06
Y 0.5000 0.0000 0.0000  -0.06
Pd 0.5000 0.5000 0.5000  0.12
Mn 0.0000 0.0000 0.5000  2.39

=====

10.
The following is a PBE-GGA calculation of a relaxed structure of MnZnPd2C, from Alexandria.

Values from the calculation:
- Energy of formation: 1.61 eV per atom
- Calculated total energy: -21.999 eV per cell

Lattice parameters (Å, degrees): 4.7404 3.5571 4.7404 90.00 90.00 90.00
Each line ends with the local moment (μB).
Fractional positions:
Zn 0.0000 0.0000 0.0000  -0.01
Mn 0.5000 0.5000 0.5000  0.32
C 0.0000 0.5000 0.0000  -0.04
Pd 0.5000 0.0000 0.0000  0.05
Pd 0.0000 0.0000 0.5000  -0.02

=====

11.
The following is a PBE-GGA calculation of a relaxed structure of Zr2MnPdC, from Alexandria.

Values from the calculation:
- Energy of formation: -0.47 eV per atom
- Calculated total energy: -43.023 eV per cell

Lattice parameters (Å, degrees): 4.6099 4.6099 3.6901 90.00 90.00 90.00
Fractional positions:
Zr 0.0000 0.5000 0.0000
Zr 0.5000 0.0000 0.0000
Pd 0.5000 0.5000 0.5000
Mn 0.0000 0.0000 0.5000
C 0.0000 0.0000 0.0000

=====

12.
The following is a PBE-GGA calculation of a relaxed structure of Pm2MnC2, from Alexandria.

Values from the calculation:
- Energy of formation: -0.07 eV per atom
- Calculated total energy: -149.878 eV per cell
- E above lowest polymorph: 0.123 eV/atom

Lattice parameters (Å, degrees): 6.2833 6.2075 8.0782 90.00 101.71 90.00
Fractional positions:
Pm 0.0273 0.2298 0.0732
Pm 0.4075 0.8899 0.3241
Pm 0.4727 0.7298 0.9268
Pm 0.9075 0.6101 0.3241
Pm 0.9727 0.7702 0.9268
Pm 0.5925 0.1101 0.6759
Pm 0.0925 0.3899 0.6759
Pm 0.5273 0.2702 0.0732
Mn 0.8558 0.0852 0.3900
Mn 0.1442 0.9148 0.6100
Mn 0.6442 0.5852 0.6100
Mn 0.3558 0.4148 0.3900
C 0.2472 0.5532 0.1752
C 0.1564 0.1776 0.4305
C 0.2528 0.0532 0.8248
C 0.6564 0.3224 0.4305
C 0.3436 0.6776 0.5695
C 0.8436 0.8224 0.5695
C 0.7528 0.4468 0.8248
C 0.7472 0.9468 0.1752